This record from Alexandria via LeMat-Bulk describes crystalline LiAl2Os2 at its relaxed geometry. The functional is PBE.

The value obtained for the formation energy from the elements is -0.130 eV per atom. The calculation puts the total moment at 0.000 μB per atom. As for the final energy: -0.2389 Ha/atom. Its calculated volume is 15.5 Å³/atom. As for the energy above the most stable polymorph in this dataset: 0.0000 eV/atom. Its density of states at the Fermi level is 4.90 states/eV per cell.

a = 7.6753 Å, b = 7.6753 Å, c = 2.6355 Å
α = 90.00°, β = 90.00°, γ = 90.00°
Closest atoms and distances in Å follow each position.
Space group P4/mbm (No. 127)
Inequivalent atoms, fractional coordinates:
Li1 0.0000 0.0000 0.0000 x2  2 Li 2.64
Al1 0.1608 0.3392 0.5000 x4  6 Os 2.57-2.64, 2 Al 2.64
Os1 0.1359 0.6359 0.0000 x4  6 Al 2.57-2.64, 2 Os 2.64

This record from Alexandria via LeMat-Bulk describes crystalline Li2AlOs at its relaxed geometry. The functional is PBE.

The value obtained for the formation energy from the elements is 0.089 eV per atom. The calculation puts the total moment at 0.000 μB per atom. As for the final energy: -0.1695 Ha/atom. Its calculated volume is 14.6 Å³/atom. Its density of states at the Fermi level is 4.54 states/eV per cell.

a = 2.8981 Å, b = 4.3811 Å, c = 9.2075 Å
α = 90.00°, β = 90.00°, γ = 90.00°
Closest atoms and distances in Å follow each position.
Space group Cmmm (No. 65)
Inequivalent atoms, fractional coordinates:
Li1 0.0000 0.0000 0.2390 x4  6 Li 2.63-2.90, 2 Os 2.63, 2 Al 2.81
Al1 0.0000 0.5000 0.5000 x2  6 Al 2.63-2.90, 4 Li 2.81
Os1 0.0000 0.5000 0.0000 x2  6 Os 2.63-2.90, 4 Li 2.63

This record from Alexandria via LeMat-Bulk describes crystalline LiAlOs2 at its relaxed geometry. The functional is PBE.

The value obtained for the formation energy from the elements is 0.167 eV per atom. The calculation puts the total moment at 0.000 μB per atom. As for the final energy: -0.2522 Ha/atom. Its calculated volume is 13.1 Å³/atom. Its density of states at the Fermi level is 2.54 states/eV per cell.

a = 3.0592 Å, b = 3.0592 Å, c = 5.5822 Å
α = 90.00°, β = 90.00°, γ = 90.00°
Closest atoms and distances in Å follow each position.
Space group P4/mmm (No. 123)
Inequivalent atoms, fractional coordinates:
Li1 0.0000 0.0000 0.0000 x1  8 Os 2.51, 2 Al 2.79
Al1 0.0000 0.0000 0.5000 x1  8 Os 2.65, 2 Li 2.79
Os1 0.5000 0.5000 0.2271 x2  4 Li 2.51, 1 Os 2.54, 4 Al 2.65

This record from Alexandria via LeMat-Bulk describes crystalline Li2AlOs at its relaxed geometry. The functional is PBE.

The value obtained for the formation energy from the elements is -0.092 eV per atom. The calculation puts the total moment at 0.000 μB per atom. As for the final energy: -0.1761 Ha/atom. Its calculated volume is 14.0 Å³/atom. Its density of states at the Fermi level is 2.13 states/eV per cell.

a = 2.8397 Å, b = 4.2484 Å, c = 4.6287 Å
α = 90.00°, β = 90.00°, γ = 90.00°
Closest atoms and distances in Å follow each position.
Space group Pmmm (No. 47)
Inequivalent atoms, fractional coordinates:
Li1 0.0000 0.0000 0.0000 x1  6 Li 2.56-2.84, 4 Os 2.72
Li2 0.5000 0.5000 0.0000 x1  6 Li 2.56-2.84, 4 Al 2.72
Al1 0.0000 0.5000 0.5000 x1  4 Os 2.56, 4 Li 2.72, 2 Al 2.84
Os1 0.5000 0.0000 0.5000 x1  4 Al 2.56, 4 Li 2.72, 2 Os 2.84

This record from Alexandria via LeMat-Bulk describes crystalline LiAlOs2 at its relaxed geometry. The functional is PBE.

The value obtained for the formation energy from the elements is 0.071 eV per atom. The calculation puts the total moment at 0.000 μB per atom. As for the final energy: -0.2557 Ha/atom. Its calculated volume is 14.2 Å³/atom. Its density of states at the Fermi level is 4.62 states/eV per cell.

a = 2.8711 Å, b = 4.5871 Å, c = 8.6004 Å
α = 90.00°, β = 90.00°, γ = 90.00°
Closest atoms and distances in Å follow each position.
Space group Cmmm (No. 65)
Inequivalent atoms, fractional coordinates:
Li1 0.0000 0.0000 0.0000 x2  4 Os 2.67, 6 Li 2.71-2.87
Al1 0.0000 0.0000 0.5000 x2  4 Os 2.51, 4 Al 2.71
Os1 0.0000 0.5000 0.2611 x4  2 Al 2.51, 2 Li 2.67, 4 Os 2.71

This record from Alexandria via LeMat-Bulk describes crystalline LiAl2Os at its relaxed geometry. The functional is PBE.

The value obtained for the formation energy from the elements is -0.328 eV per atom. The calculation puts the total moment at 0.000 μB per atom. As for the final energy: -0.2016 Ha/atom. Its calculated volume is 13.7 Å³/atom. As for the energy above the most stable polymorph in this dataset: 0.0740 eV/atom. Its density of states at the Fermi level is 1.53 states/eV per cell.

a = 3.1642 Å, b = 4.0579 Å, c = 8.5187 Å
α = 90.00°, β = 90.00°, γ = 90.00°
Closest atoms and distances in Å follow each position.
Space group Imm2 (No. 44)
Inequivalent atoms, fractional coordinates:
Li1 0.0000 0.0000 0.0000 x2  6 Al 2.58-2.65, 2 Os 2.62
Al1 0.0000 0.0000 0.4874 x2  4 Li 2.58, 2 Os 2.60, 4 Al 2.74-2.86
Al2 0.0000 0.5000 0.2502 x2  4 Os 2.57, 2 Li 2.65, 4 Al 2.74-2.86
Os1 0.0000 0.5000 0.7455 x2  6 Al 2.57-2.60, 2 Li 2.62

Q: Which of these has the lowest calculated volume?
A: number 3

Q: The highest formation energy from the elements belongs to which entry?
A: number 3

What did the sixth record say?
This record from Alexandria via LeMat-Bulk describes crystalline LiAl2Os at its relaxed geometry. The functional is PBE.

The value obtained for the formation energy from the elements is -0.328 eV per atom. The calculation puts the total moment at 0.000 μB per atom. As for the final energy: -0.2016 Ha/atom. Its calculated volume is 13.7 Å³/atom. As for the energy above the most stable polymorph in this dataset: 0.0740 eV/atom. Its density of states at the Fermi level is 1.53 states/eV per cell.

a = 3.1642 Å, b = 4.0579 Å, c = 8.5187 Å
α = 90.00°, β = 90.00°, γ = 90.00°
Closest atoms and distances in Å follow each position.
Space group Imm2 (No. 44)
Inequivalent atoms, fractional coordinates:
Li1 0.0000 0.0000 0.0000 x2  6 Al 2.58-2.65, 2 Os 2.62
Al1 0.0000 0.0000 0.4874 x2  4 Li 2.58, 2 Os 2.60, 4 Al 2.74-2.86
Al2 0.0000 0.5000 0.2502 x2  4 Os 2.57, 2 Li 2.65, 4 Al 2.74-2.86
Os1 0.0000 0.5000 0.7455 x2  6 Al 2.57-2.60, 2 Li 2.62

Q: Which formula does entry 2 have?
A: Li2AlOs